Hf2Ge2Au: relaxed, GGA-PBEsol.

a = 6.777 Å, b = 6.777 Å, c = 3.814 Å
α = 90.00°, β = 90.00°, γ = 90.00°
Space group P4/mbm (No. 127)
Inequivalent atoms, fractional coordinates:
1 Hf 0.177 0.323 0.000 (multiplicity 4)
2 Ge 0.127 0.627 0.500 (multiplicity 4)
3 Au 0.000 0.000 0.500 (multiplicity 2)

Values from the calculation:
- Volume: 17.52 Å³ per atom
- DFT total energy: -75.12 eV/cell
- Mass density: 13.26 g/cm³